No. 1
Computed, not measured: crystalline TaAl2AgF at its relaxed geometry at the PBEsol level of DFT.

Unit cell a=4.618 b=4.618 c=5.120 alpha=90.00 beta=90.00 gamma=90.00
Space group P4/mmm (No. 123)
Unique sites:
Ta  0.000  0.000  0.000 (multiplicity 1)
Al  0.000  0.500  0.500 (multiplicity 2)
Ag  0.000  0.000  0.500 (multiplicity 1)
F  0.500  0.500  0.000 (multiplicity 1)

Results
E_tot = -4.27 eV per atom
M_tot = 0.1053 μB per atom
raw formation energy = 926.0 meV/atom

No. 2
Computed, not measured: crystalline CaIr2Br at its relaxed geometry at the PBEsol level of DFT.

Unit cell a=2.981 b=5.085 c=9.234 alpha=90.00 beta=90.00 gamma=90.00
Space group Cmmm (No. 65)
Unique sites:
Ca  0.000  0.000  0.000 (multiplicity 2)
Ir  0.000  0.500  0.256 (multiplicity 4)
Br  0.000  0.000  0.500 (multiplicity 2)

Results
E_tot = -5.22 eV per atom
M_tot = 0.0000 μB per atom
raw formation energy = 695.0 meV/atom

Which of these has the lowest M_tot?
CaIr2Br

Among the records above, which one has the highest M_tot?
TaAl2AgF

The lowest E_tot belongs to which entry?
CaIr2Br